A relaxed structure of CaNd3Hg12. Source: Alexandria, functional PBE-GGA.

Output
D(E_F) = 12.19 states/eV per cell
formation enthalpy at 0 K = -34.4 kJ per mole of atoms
density = 11529 kg/m³
total magnetic moment = 0.00 μB/atom

Geometry as POSCAR:
```
CaNd3Hg12
1.0
-1.8159 2.9741 3.1542
-4.1968 -2.0634 -0.4704
4.3423 -11.9763 13.7922
Hg Nd Ca
12 3 1
direct
0.5000 0.5000 0.5000
0.5000 0.0000 0.8751
0.5000 0.5000 0.7486
0.5000 0.0000 0.6252
0.5000 0.5000 0.0000
0.0000 0.5000 0.8751
0.0000 0.5000 0.6252
0.5000 0.0000 0.3748
0.0000 0.5000 0.3748
0.5000 0.0000 0.1249
0.0000 0.5000 0.1249
0.5000 0.5000 0.2514
0.0000 0.0000 0.5000
0.0000 0.0000 0.7533
0.0000 0.0000 0.2467
0.0000 0.0000 0.0000
```